Density functional theory data (PBE+U) for crystalline Sr3Li2MoO6 at its relaxed geometry.

The space group is P-3m1 (No. 164) and the conventional cell measures 5.8205, 5.8205 and 6.3220 Å, with angles of 90.00, 90.00 and 120.00 degrees. The inequivalent atoms are Sr at (0.0000, 0.0000, 0.0000), Sr at (0.3333, 0.6667, 0.6167), Li at (0.3333, 0.6667, 0.1951), Mo at (0.0000, 0.0000, 0.5000) and O at (0.1651, 0.3302, 0.3062).

Its total energy is -5.97 eV per atom. The density of states at the Fermi level comes out at 3.13 states/eV/f.u.